GdErNF2 after structural relaxation, computed with PBE.

Total energy in eV/f.u.: -35.3
Magnetization in μB/f.u.: 0.00
Space group: P3m1

a b c (Å): 3.4668 3.4668 6.6424
angles (deg): 90.00 90.00 120.00
Closest atoms and distances in Å follow each position.
Positions (direct):
Gd 0.0000 0.0000 0.0000  3 F 2.37, 3 N 2.44
Er 0.3333 0.6667 0.3984  3 F 2.30, 3 N 2.36
N 0.6667 0.3333 0.2104  3 Er 2.36, 3 Gd 2.44
F 0.0000 0.0000 0.5699  3 Er 2.30, 3 F 2.56
F 0.3333 0.6667 0.8095  3 Gd 2.37, 3 F 2.56